First-principles (PBE) data for crystalline RbSiAgF6 at its relaxed geometry, as listed in Alexandria.

It has space group C2 (No. 5), with a = 5.872 Å, b = 10.188 Å, c = 5.405 Å, α = 90.00°, β = 90.04° and γ = 90.00°. The inequivalent atoms are Rb at (0.000, 0.000, 0.000), Si at (0.000, 0.667, 0.500), Ag at (0.000, 0.334, 0.500), F at (0.118, 0.546, 0.316), F at (0.121, 0.786, 0.316) and F at (0.240, 0.668, 0.683).

The value obtained for the density of states at the Fermi level is 0.0 states/eV/f.u. The formation energy (no corrections) is -2686 meV/atom. As for the total magnetization: 0.013 μB/atom. The crystal system is monoclinic.

=====

First-principles (PBE) data for crystalline CsLi3Te2 at its relaxed geometry, as listed in Alexandria.

It has space group C2/m (No. 12), with a = 18.264 Å, b = 4.740 Å, c = 9.301 Å, α = 90.00°, β = 113.11° and γ = 90.00°. The inequivalent atoms are Cs at (0.132, 0.000, 0.042), Li at (0.065, 0.000, 0.400), Li at (0.093, 0.500, 0.621), Li at (0.191, 0.500, 0.466), Te at (0.025, 0.500, 0.266) and Te at (0.197, 0.000, 0.667).

The value obtained for the density of states at the Fermi level is 0.0 states/eV/f.u. The formation energy (no corrections) is -1037 meV/atom. As for the total magnetization: 0.000 μB/atom. The crystal system is monoclinic.

=====

First-principles (PBE) data for crystalline PrCrGe2 at its relaxed geometry, as listed in Alexandria.

It has space group R-3m (No. 166, hexagonal axes), with a = 4.2555 Å, b = 4.2555 Å, c = 15.8450 Å, α = 90.00°, β = 90.00° and γ = 120.00°. The inequivalent atoms are Pr at (0.0000, 0.0000, 0.0000), Cr at (0.0000, 0.0000, 0.5000) and Ge at (0.0000, 0.0000, 0.2193).

The value obtained for the density of states at the Fermi level is 2.3 states/eV/f.u. As for the total magnetization: 0.687 μB/atom. The formation energy comes out at -0.372 eV/atom. The crystal system is trigonal.

=====

First-principles (PBE) data for crystalline PPbI2O at its relaxed geometry, as listed in Alexandria.

It has space group P4/mmm (No. 123), with a = 5.966 Å, b = 5.966 Å, c = 3.640 Å, α = 90.00°, β = 90.00° and γ = 90.00°. The inequivalent atoms are P at (0.000, 0.000, 0.000), Pb at (0.500, 0.500, 0.500), I at (0.000, 0.500, 0.000) and O at (0.000, 0.000, 0.500).

The value obtained for the density of states at the Fermi level is 2.0 states/eV/f.u. The formation energy (no corrections) is -226 meV/atom. As for the total magnetization: 0.000 μB/atom. As for the energy above the most stable polymorph in this dataset: 0 meV per atom. The crystal system is tetragonal.

=====

First-principles (PBE) data for crystalline ThZr2 at its relaxed geometry, as listed in Alexandria.

It has space group Fd-3m (No. 227, origin choice 2), with a = 8.538 Å, b = 8.538 Å, c = 8.538 Å, α = 90.00°, β = 90.00° and γ = 90.00°. The inequivalent atoms are Th at (0.125, 0.125, 0.125) and Zr at (0.000, 0.000, 0.500).

The value obtained for the density of states at the Fermi level is 4.9 states/eV/f.u. As for the total magnetization: 0.000 μB/atom. The formation energy comes out at 0.121 eV/atom. The crystal system is cubic.

=====

First-principles (PBE) data for crystalline SrLi3 at its relaxed geometry, as listed in Alexandria.

It has space group Pmma (No. 51), with a = 6.179 Å, b = 4.569 Å, c = 8.365 Å, α = 90.00°, β = 90.00° and γ = 90.00°. The inequivalent atoms are Sr at (0.250, 0.000, 0.181), Li at (0.000, 0.500, 0.500), Li at (0.250, 0.000, 0.610) and Li at (0.250, 0.500, 0.838).

The value obtained for the density of states at the Fermi level is 2.9 states/eV/f.u. As for the total magnetization: 0.000 μB/atom. The formation energy comes out at 0.023 eV/atom. The crystal system is orthorhombic.

=====

First-principles (PBE) data for crystalline CaLaNi10 at its relaxed geometry, as listed in Alexandria.

It has space group Pmmm (No. 47), with a = 3.962 Å, b = 4.964 Å, c = 8.591 Å, α = 90.00°, β = 90.00° and γ = 90.00°. The inequivalent atoms are Ca at (0.000, 0.000, 0.000), La at (0.000, 0.500, 0.500), Ni at (0.000, 0.000, 0.331), Ni at (0.000, 0.500, 0.165), Ni at (0.500, 0.000, 0.500), Ni at (0.500, 0.249, 0.248) and Ni at (0.500, 0.500, 0.000).

The value obtained for the density of states at the Fermi level is 15.5 states/eV/f.u. As for the total magnetization: 0.290 μB/atom. The formation energy comes out at -0.194 eV/atom. The crystal system is orthorhombic.

=====

First-principles (PBE) data for crystalline ThCuHg at its relaxed geometry, as listed in Alexandria.

It has space group I4mm (No. 107), with a = 3.410 Å, b = 3.410 Å, c = 11.463 Å, α = 90.00°, β = 90.00° and γ = 90.00°. The inequivalent atoms are Th at (0.000, 0.000, 0.000), Cu at (0.000, 0.000, 0.667) and Hg at (0.000, 0.000, 0.297).

The value obtained for the density of states at the Fermi level is 2.5 states/eV/f.u. As for the total magnetization: 0.000 μB/atom. The formation energy comes out at -0.082 eV/atom. The crystal system is tetragonal.

=====

First-principles (PBE) data for crystalline NiTe2Cl at its relaxed geometry, as listed in Alexandria.

It has space group Cmm2 (No. 35), with a = 3.468 Å, b = 5.659 Å, c = 10.529 Å, α = 90.00°, β = 90.00° and γ = 90.00°. The inequivalent atoms are Ni at (0.000, 0.000, 0.000), Te at (0.000, 0.000, 0.487), Te at (0.000, 0.500, 0.167) and Cl at (0.000, 0.500, 0.860).

The value obtained for the density of states at the Fermi level is 3.1 states/eV/f.u. The formation energy (no corrections) is -6 meV/atom. As for the total magnetization: 0.000 μB/atom. The crystal system is orthorhombic.

=====

First-principles (PBE) data for crystalline DyAu12 at its relaxed geometry, as listed in Alexandria.

It has space group Fm-3m (No. 225), with a = 11.406 Å, b = 11.406 Å, c = 11.406 Å, α = 90.00°, β = 90.00° and γ = 90.00°. The inequivalent atoms are Dy at (0.000, 0.000, 0.000) and Au at (0.000, 0.170, 0.330).

The value obtained for the density of states at the Fermi level is 11.0 states/eV/f.u. As for the total magnetization: 0.000 μB/atom. The formation energy comes out at 0.530 eV/atom. The crystal system is cubic.

=====

First-principles (PBE) data for crystalline Dy3Er12Zr at its relaxed geometry, as listed in Alexandria.

It has space group P4/mmm (No. 123), with a = 4.940 Å, b = 4.940 Å, c = 19.713 Å, α = 90.00°, β = 90.00° and γ = 90.00°. The inequivalent atoms are Dy at (0.000, 0.000, 0.000), Dy at (0.000, 0.000, 0.252), Er at (0.000, 0.500, 0.127), Er at (0.000, 0.500, 0.382), Er at (0.500, 0.500, 0.000), Er at (0.500, 0.500, 0.253), Er at (0.500, 0.500, 0.500) and Zr at (0.000, 0.000, 0.500).

The value obtained for the density of states at the Fermi level is 20.6 states/eV/f.u. As for the total magnetization: 0.000 μB/atom. The formation energy comes out at 0.035 eV/atom. The crystal system is tetragonal.

=====

First-principles (PBE) data for crystalline InSiTeN2 at its relaxed geometry, as listed in Alexandria.

It has space group P4/mmm (No. 123), with a = 4.283 Å, b = 4.283 Å, c = 6.213 Å, α = 90.00°, β = 90.00° and γ = 90.00°. The inequivalent atoms are In at (0.000, 0.000, 0.000), Si at (0.500, 0.500, 0.500), Te at (0.000, 0.000, 0.500) and N at (0.000, 0.500, 0.000).

The value obtained for the density of states at the Fermi level is 2.5 states/eV/f.u. The formation energy (no corrections) is 1586 meV/atom. As for the total magnetization: 0.600 μB/atom. As for the energy above the most stable polymorph in this dataset: 760 meV per atom. The crystal system is tetragonal.

=====

Looking at energy for the records above, in order, we have -4.960 -3.183 -6.281 -3.661 -8.051 -1.833 -5.589 -4.022 -3.484 -2.849 -4.784 -4.005 eV per atom.